Below is a relaxed structure of MoIrO6, with properties calculated at the PBEsol level.

Structure (CIF):
```
data_MoIrO6
_chemical_formula_sum 'Mo2 Ir2 O12'
_cell_length_a 5.3096
_cell_length_b 5.3109
_cell_length_c 9.2078
_cell_angle_alpha 90.00
_cell_angle_beta 125.22
_cell_angle_gamma 90.00
_symmetry_space_group_name_H-M 'P 1 21/c 1'
_symmetry_Int_Tables_number 14
loop_
_symmetry_equiv_pos_as_xyz
'x,y,z'
'-x,-y,-z'
'-x,y+1/2,-z+1/2'
'x,-y+1/2,z+1/2'
loop_
_atom_site_label
_atom_site_type_symbol
_atom_site_fract_x
_atom_site_fract_y
_atom_site_fract_z
Mo1 Mo 0.0000 0.0000 0.0000
Ir1 Ir 0.5000 0.0000 0.5000
O1 O 0.2366 0.2354 0.5014
O2 O 0.2471 0.9999 0.2499
O3 O 0.2660 0.7353 0.5014
```

Density of states at the Fermi level, states/eV per cell: 8.4
ΔE_f (raw), eV per formula unit: -9.6

Below is a relaxed structure of MoIrO2, with properties calculated at the PBEsol level.

Structure (CIF):
```
data_MoIrO2
_chemical_formula_sum 'Mo4 Ir4 O8'
_cell_length_a 5.5143
_cell_length_b 5.5143
_cell_length_c 5.5143
_cell_angle_alpha 90.00
_cell_angle_beta 90.00
_cell_angle_gamma 90.00
_symmetry_space_group_name_H-M 'F m -3 m'
_symmetry_Int_Tables_number 225
_symmetry_space_group_name_Hall '-F 4 2 3'
loop_
_atom_site_label
_atom_site_type_symbol
_atom_site_fract_x
_atom_site_fract_y
_atom_site_fract_z
Mo1 Mo 0.0000 0.0000 0.0000
Ir1 Ir 0.0000 0.0000 0.5000
O1 O 0.2500 0.2500 0.2500
```

Density of states at the Fermi level, states/eV per cell: 15.5
ΔE_f (raw), eV per formula unit: 1.2
Energy relative to the lowest polymorph listed for this composition, eV/atom: 0.7820

Below is a relaxed structure of MoP2IrO, with properties calculated at the PBEsol level.

Structure (CIF):
```
data_MoP2IrO
_chemical_formula_sum 'Mo1 P2 Ir1 O1'
_cell_length_a 4.7265
_cell_length_b 4.7265
_cell_length_c 3.5847
_cell_angle_alpha 90.00
_cell_angle_beta 90.00
_cell_angle_gamma 90.00
_symmetry_space_group_name_H-M 'P 4/m m m'
_symmetry_Int_Tables_number 123
_symmetry_space_group_name_Hall '-P 4 2'
loop_
_atom_site_label
_atom_site_type_symbol
_atom_site_fract_x
_atom_site_fract_y
_atom_site_fract_z
Mo1 Mo 0.0000 0.0000 0.0000
P1 P 0.0000 0.5000 0.5000
Ir1 Ir 0.5000 0.5000 0.5000
O1 O 0.5000 0.5000 0.0000
```

Density of states at the Fermi level, states/eV per cell: 3.3
ΔE_f (raw), eV per formula unit: 2.9

Below is a relaxed structure of MoIrOs, with properties calculated at the PBEsol level.

Structure (CIF):
```
data_MoIrOs
_chemical_formula_sum 'Mo4 Ir4 Os4'
_cell_length_a 5.8742
_cell_length_b 5.8742
_cell_length_c 5.8742
_cell_angle_alpha 90.00
_cell_angle_beta 90.00
_cell_angle_gamma 90.00
_symmetry_space_group_name_H-M 'F -4 3 m'
_symmetry_Int_Tables_number 216
_symmetry_space_group_name_Hall 'F -4 2 3'
loop_
_atom_site_label
_atom_site_type_symbol
_atom_site_fract_x
_atom_site_fract_y
_atom_site_fract_z
Mo1 Mo 0.0000 0.0000 0.0000
Ir1 Ir 0.2500 0.2500 0.7500
Os1 Os 0.2500 0.2500 0.2500
```

Density of states at the Fermi level, states/eV per cell: 9.6
Formation enthalpy at 0 K, eV/atom: 0.505
Energy relative to the lowest polymorph listed for this composition, eV/atom: 0.5587

Below is a relaxed structure of MoIrOs, with properties calculated at the PBEsol level.

Structure (CIF):
```
data_MoIrOs
_chemical_formula_sum 'Mo2 Ir2 Os2'
_cell_length_a 2.7090
_cell_length_b 3.8694
_cell_length_c 8.2357
_cell_angle_alpha 90.00
_cell_angle_beta 90.00
_cell_angle_gamma 90.00
_symmetry_space_group_name_H-M 'I m m 2'
_symmetry_Int_Tables_number 44
loop_
_symmetry_equiv_pos_as_xyz
'x,y,z'
'-x,-y,z'
'-x,y,z'
'x,-y,z'
'x+1/2,y+1/2,z+1/2'
'-x+1/2,-y+1/2,z+1/2'
'-x+1/2,y+1/2,z+1/2'
'x+1/2,-y+1/2,z+1/2'
loop_
_atom_site_label
_atom_site_type_symbol
_atom_site_fract_x
_atom_site_fract_y
_atom_site_fract_z
Mo1 Mo 0.0000 0.0000 0.0000
Ir1 Ir 0.0000 0.0000 0.6689
Os1 Os 0.0000 0.0000 0.3349
```

Density of states at the Fermi level, states/eV per cell: 6.5
Formation enthalpy at 0 K, eV/atom: -0.053
Energy relative to the lowest polymorph listed for this composition, eV/atom: 0.0000

Below is a relaxed structure of MoIrOs, with properties calculated at the PBEsol level.

Structure (CIF):
```
data_MoIrOs
_chemical_formula_sum 'Mo2 Ir2 Os2'
_cell_length_a 2.7239
_cell_length_b 2.7239
_cell_length_c 11.6494
_cell_angle_alpha 90.00
_cell_angle_beta 90.00
_cell_angle_gamma 90.00
_symmetry_space_group_name_H-M 'I 4 m m'
_symmetry_Int_Tables_number 107
_symmetry_space_group_name_Hall 'I 4 -2'
loop_
_atom_site_label
_atom_site_type_symbol
_atom_site_fract_x
_atom_site_fract_y
_atom_site_fract_z
Mo1 Mo 0.0000 0.0000 0.0000
Ir1 Ir 0.0000 0.0000 0.6686
Os1 Os 0.0000 0.0000 0.3336
```

Density of states at the Fermi level, states/eV per cell: 5.2
Formation enthalpy at 0 K, eV/atom: -0.046
Energy relative to the lowest polymorph listed for this composition, eV/atom: 0.0074

Below is a relaxed structure of MoIr3Os, with properties calculated at the PBEsol level.

Structure (CIF):
```
data_MoIr3Os
_chemical_formula_sum 'Mo1 Ir3 Os1'
_cell_length_a 4.6465
_cell_length_b 4.6465
_cell_length_c 4.6465
_cell_angle_alpha 90.00
_cell_angle_beta 90.00
_cell_angle_gamma 90.00
_symmetry_space_group_name_H-M 'P m -3 m'
_symmetry_Int_Tables_number 221
_symmetry_space_group_name_Hall '-P 4 2 3'
loop_
_atom_site_label
_atom_site_type_symbol
_atom_site_fract_x
_atom_site_fract_y
_atom_site_fract_z
Mo1 Mo 0.0000 0.0000 0.0000
Ir1 Ir 0.0000 0.5000 0.5000
Os1 Os 0.5000 0.5000 0.5000
```

Density of states at the Fermi level, states/eV per cell: 5.5
Formation enthalpy at 0 K, eV/atom: 2.267

Below is a relaxed structure of MoIrOsPb2, with properties calculated at the PBEsol level.

Structure (CIF):
```
data_MoIrOsPb2
_chemical_formula_sum 'Mo1 Ir1 Os1 Pb2'
_cell_length_a 5.1592
_cell_length_b 5.1592
_cell_length_c 4.5848
_cell_angle_alpha 90.00
_cell_angle_beta 90.00
_cell_angle_gamma 90.00
_symmetry_space_group_name_H-M 'P 4/m m m'
_symmetry_Int_Tables_number 123
_symmetry_space_group_name_Hall '-P 4 2'
loop_
_atom_site_label
_atom_site_type_symbol
_atom_site_fract_x
_atom_site_fract_y
_atom_site_fract_z
Mo1 Mo 0.0000 0.0000 0.0000
Ir1 Ir 0.5000 0.5000 0.5000
Os1 Os 0.0000 0.0000 0.5000
Pb1 Pb 0.0000 0.5000 0.0000
```

Density of states at the Fermi level, states/eV per cell: 8.8
Formation enthalpy at 0 K, eV/atom: 2.009

Below is a relaxed structure of Mo2PIr, with properties calculated at the PBEsol level.

Structure (CIF):
```
data_Mo2PIr
_chemical_formula_sum 'Mo4 P2 Ir2'
_cell_length_a 3.7411
_cell_length_b 3.7411
_cell_length_c 8.0398
_cell_angle_alpha 90.00
_cell_angle_beta 90.00
_cell_angle_gamma 90.00
_symmetry_space_group_name_H-M 'I -4 m 2'
_symmetry_Int_Tables_number 119
_symmetry_space_group_name_Hall 'I -4 -2'
loop_
_atom_site_label
_atom_site_type_symbol
_atom_site_fract_x
_atom_site_fract_y
_atom_site_fract_z
Mo1 Mo 0.0000 0.0000 0.0000
Mo2 Mo 0.0000 0.5000 0.2500
P1 P 0.0000 0.0000 0.5000
Ir1 Ir 0.0000 0.5000 0.7500
```

Density of states at the Fermi level, states/eV per cell: 7.0
Formation enthalpy at 0 K, eV/atom: 0.008

Below is a relaxed structure of MoPIr, with properties calculated at the PBEsol level.

Structure (CIF):
```
data_MoPIr
_chemical_formula_sum 'Mo1 P1 Ir1'
_cell_length_a 4.1154
_cell_length_b 4.1154
_cell_length_c 2.8061
_cell_angle_alpha 90.00
_cell_angle_beta 90.00
_cell_angle_gamma 120.00
_symmetry_space_group_name_H-M 'P 3 m 1'
_symmetry_Int_Tables_number 156
loop_
_symmetry_equiv_pos_as_xyz
'x,y,z'
'-y,x-y,z'
'-x+y,-x,z'
'-y,-x,z'
'-x+y,y,z'
'x,x-y,z'
loop_
_atom_site_label
_atom_site_type_symbol
_atom_site_fract_x
_atom_site_fract_y
_atom_site_fract_z
Mo1 Mo 0.0000 0.0000 0.0000
P1 P 0.6667 0.3333 0.2936
Ir1 Ir 0.3333 0.6667 0.4821
```

Density of states at the Fermi level, states/eV per cell: 1.8
Formation enthalpy at 0 K, eV/atom: -0.254

Below is a relaxed structure of MoP2Ir, with properties calculated at the PBEsol level.

Structure (CIF):
```
data_MoP2Ir
_chemical_formula_sum 'Mo2 P4 Ir2'
_cell_length_a 3.2713
_cell_length_b 4.7054
_cell_length_c 7.2222
_cell_angle_alpha 90.00
_cell_angle_beta 90.00
_cell_angle_gamma 90.00
_symmetry_space_group_name_H-M 'C m m m'
_symmetry_Int_Tables_number 65
_symmetry_space_group_name_Hall '-C 2 2'
loop_
_atom_site_label
_atom_site_type_symbol
_atom_site_fract_x
_atom_site_fract_y
_atom_site_fract_z
Mo1 Mo 0.0000 0.0000 0.0000
P1 P 0.0000 0.5000 0.2519
Ir1 Ir 0.0000 0.0000 0.5000
```

Density of states at the Fermi level, states/eV per cell: 5.5
Formation enthalpy at 0 K, eV/atom: 0.151
Energy relative to the lowest polymorph listed for this composition, eV/atom: 0.3554

Below is a relaxed structure of MoP2Ir, with properties calculated at the PBEsol level.

Structure (CIF):
```
data_MoP2Ir
_chemical_formula_sum 'Mo2 P4 Ir2'
_cell_length_a 7.6818
_cell_length_b 2.8780
_cell_length_c 5.0581
_cell_angle_alpha 90.00
_cell_angle_beta 104.51
_cell_angle_gamma 90.00
_symmetry_space_group_name_H-M 'C 1 2/m 1'
_symmetry_Int_Tables_number 12
loop_
_symmetry_equiv_pos_as_xyz
'x,y,z'
'-x,-y,-z'
'-x,y,-z'
'x,-y,z'
'x+1/2,y+1/2,z'
'-x+1/2,-y+1/2,-z'
'-x+1/2,y+1/2,-z'
'x+1/2,-y+1/2,z'
loop_
_atom_site_label
_atom_site_type_symbol
_atom_site_fract_x
_atom_site_fract_y
_atom_site_fract_z
Mo1 Mo 0.0000 0.0000 0.0000
P1 P 0.2480 0.0000 0.7643
Ir1 Ir 0.0000 0.5000 0.5000
```

Density of states at the Fermi level, states/eV per cell: 5.2
Formation enthalpy at 0 K, eV/atom: -0.204
Energy relative to the lowest polymorph listed for this composition, eV/atom: 0.0000